# 1
Material: SmDyPuN3
Method: DFT, PBE
State: optimized geometry

POSCAR file:
```
SmDyPuN3
1.0
-3.354 0.288 -1.087
1.168 -4.905 -4.902
-3.189 -3.527 8.902
Sm Dy Pu N
2 2 2 6
Cartesian
-4.386 -6.738 3.115 Sm
-0.988 -1.407 -0.202 Sm
-0.472 -3.837 -2.437 Dy
-4.902 -4.308 5.351 Dy
-1.700 -6.331 0.691 Pu
-3.674 -1.814 2.223 Pu
-0.993 -5.849 -1.362 N
-1.847 -4.972 -4.249 N
-2.370 -2.358 -1.943 N
-4.381 -2.296 4.275 N
-3.004 -5.787 4.857 N
-3.527 -3.173 7.162 N
```

Its symmetry is No. 11.


# 2
Material: Dy2PuSnN5
Method: DFT, PBE
State: optimized geometry

POSCAR file:
```
Dy2PuSnN5
1.0
-3.356 -0.376 -0.600
0.921 -2.943 6.496
-1.836 9.263 4.457
Dy Pu Sn N
4 2 2 10
Cartesian
-3.679 4.786 7.769 Dy
-1.435 5.728 4.433 Dy
-0.724 1.826 2.905 Dy
-2.623 -0.859 5.402 Dy
-3.039 2.752 5.462 Pu
-0.345 -1.288 2.735 Pu
-3.487 8.628 4.286 Sn
-1.580 1.333 8.000 Sn
-0.582 -2.232 4.653 N
-3.576 6.677 6.007 N
-2.167 4.069 9.567 N
-1.612 4.245 6.351 N
-3.387 2.301 7.696 N
-2.809 3.736 3.564 N
-1.147 1.545 5.442 N
-2.189 2.304 0.992 N
-2.282 -0.203 3.087 N
-0.212 0.254 1.026 N
```

Its symmetry is No. 36.


Number 1: Fermi-level density of states 1.250 states/eV/atom, formation energy from raw total energies -7.309 eV per formula unit, mass density 8.7 Mg/m³. Number 2: Fermi-level density of states 0.591 states/eV/atom, formation energy from raw total energies -7.814 eV per formula unit, mass density 10.1 Mg/m³.